(1)
This record from Alexandria describes GdUOs4 after structural relaxation. The functional is PBE-GGA.

Calculated volume   433.9 Å³ per cell
Energy of formation from the pure elements   -0.129 eV per atom
Crystal system   cubic

Lattice parameters (Å, degrees): 7.5706 7.5706 7.5706 90.00 90.00 90.00
Closest atoms and distances in Å follow each position.
Space group F-43m (No. 216)
One atom of each set of equivalent atoms:
Gd1 0.0000 0.0000 0.0000 x4  12 Os 3.14, 4 U 3.28
U1 0.2500 0.2500 0.7500 x4  12 Os 3.14, 4 Gd 3.28
Os1 0.1250 0.1250 0.3750 x16  6 Os 2.68

---

(2)
This record from Alexandria describes GdUOs after structural relaxation. The functional is PBE-GGA.

Calculated volume   133.3 Å³ per cell
Energy of formation from the pure elements   0.005 eV per atom
Offset from the most stable computed form   0.000 eV/atom
Crystal system   tetragonal

Lattice parameters (Å, degrees): 3.5088 3.5088 10.8267 90.00 90.00 90.00
Closest atoms and distances in Å follow each position.
Space group I4mm (No. 107)
One atom of each set of equivalent atoms:
Gd1 0.0000 0.0000 0.0000 x2  5 Os 3.25-3.31, 5 U 3.25-3.29, 4 Gd 3.51
U1 0.0000 0.0000 0.3005 x2  4 Os 2.73
Os1 0.0000 0.0000 0.6944 x2  4 U 2.73